Density functional theory data (PBE) for a relaxed LiMg3Sn3Ru2 crystal.

The formation energy is -0.08 eV/atom. The calculation puts the total moment at 0.00 μB/f.u. For the total DFT energy (no corrections), the calculation gives -4.219 eV per atom.

The space group is P-62m (No. 189) and the conventional cell measures 7.5365, 7.5365 and 3.3450 Å, with angles of 90.00, 90.00 and 120.00 degrees. The inequivalent atoms are Li at (0.0000, 0.0000, 0.0000), Mg at (0.0000, 0.7179, 0.5000), Sn at (0.0000, 0.3806, 0.0000) and Ru at (0.3333, 0.6667, 0.5000).